1.
# Ba3BiP, relaxed, DFT PBE-GGA
data_Ba3BiP
_chemical_formula_sum 'Ba3 Bi1 P1'
_symmetry_space_group_name_H-M 'P m -3 m'
_symmetry_Int_Tables_number 221
_symmetry_space_group_name_Hall '-P 4 2 3'
_cell_length_a 6.139
_cell_length_b 6.139
_cell_length_c 6.139
_cell_angle_alpha 90.00
_cell_angle_beta 90.00
_cell_angle_gamma 90.00
loop_
_atom_site_label
_atom_site_type_symbol
_atom_site_fract_x
_atom_site_fract_y
_atom_site_fract_z
_atom_site_occupancy
Ba1 Ba 0.000 0.000 0.500 1
Bi1 Bi 0.500 0.500 0.500 1
P1 P 0.000 0.000 0.000 1
# calculated formation energy: -0.844 eV per atom
# volume: 231 Å³/f.u.
# energy above the lowest structure with this stoichiometry: 86 meV/atom
# total magnetic moment: 0.0 μB per cell



2.
# Ba4BiP, relaxed, DFT PBE-GGA
data_Ba4BiP
_chemical_formula_sum 'Ba4 Bi1 P1'
_symmetry_space_group_name_H-M 'P 4/m m m'
_symmetry_Int_Tables_number 123
_symmetry_space_group_name_Hall '-P 4 2'
_cell_length_a 5.679
_cell_length_b 5.679
_cell_length_c 8.171
_cell_angle_alpha 90.00
_cell_angle_beta 90.00
_cell_angle_gamma 90.00
loop_
_atom_site_label
_atom_site_type_symbol
_atom_site_fract_x
_atom_site_fract_y
_atom_site_fract_z
_atom_site_occupancy
Ba1 Ba 0.000 0.500 0.226 1
Bi1 Bi 0.000 0.000 0.500 1
P1 P 0.500 0.500 0.000 1
# calculated formation energy: -0.750 eV per atom
# volume: 263 Å³/f.u.
# total magnetic moment: 0.0 μB per cell



3.
# Ba3BiP, relaxed, DFT PBE-GGA
data_Ba3BiP
_chemical_formula_sum 'Ba12 Bi4 P4'
_symmetry_space_group_name_H-M 'C m m m'
_symmetry_Int_Tables_number 65
_symmetry_space_group_name_Hall '-C 2 2'
_cell_length_a 11.350
_cell_length_b 16.335
_cell_length_c 4.740
_cell_angle_alpha 90.00
_cell_angle_beta 90.00
_cell_angle_gamma 90.00
loop_
_atom_site_label
_atom_site_type_symbol
_atom_site_fract_x
_atom_site_fract_y
_atom_site_fract_z
_atom_site_occupancy
Ba1 Ba 0.000 0.160 0.000 1
Ba2 Ba 0.192 0.379 0.500 1
Bi1 Bi 0.000 0.000 0.500 1
Bi2 Bi 0.000 0.500 0.000 1
P1 P 0.250 0.250 0.000 1
# calculated formation energy: -0.898 eV per atom
# volume: 220 Å³/f.u.
# energy above the lowest structure with this stoichiometry: 32 meV/atom
# total magnetic moment: 0.0 μB per cell



4.
# BaBiPPb2, relaxed, DFT PBE-GGA
data_BaBiPPb2
_chemical_formula_sum 'Ba1 Bi1 P1 Pb2'
_symmetry_space_group_name_H-M 'P 4/m m m'
_symmetry_Int_Tables_number 123
_symmetry_space_group_name_Hall '-P 4 2'
_cell_length_a 5.550
_cell_length_b 5.550
_cell_length_c 5.686
_cell_angle_alpha 90.00
_cell_angle_beta 90.00
_cell_angle_gamma 90.00
loop_
_atom_site_label
_atom_site_type_symbol
_atom_site_fract_x
_atom_site_fract_y
_atom_site_fract_z
_atom_site_occupancy
Ba1 Ba 0.000 0.000 0.000 1
Bi1 Bi 0.500 0.500 0.000 1
P1 P 0.500 0.500 0.500 1
Pb1 Pb 0.000 0.500 0.500 1
# calculated formation energy: -0.043 eV per atom
# volume: 175 Å³/f.u.
# total magnetic moment: 0.0 μB per cell



5.
# Ba2BiPPb, relaxed, DFT PBE-GGA
data_Ba2BiPPb
_chemical_formula_sum 'Ba4 Bi2 P2 Pb2'
_symmetry_space_group_name_H-M 'P 1 21/m 1'
_symmetry_Int_Tables_number 11
_symmetry_space_group_name_Hall '-P 2yb'
_cell_length_a 9.257
_cell_length_b 4.690
_cell_length_c 9.739
_cell_angle_alpha 90.00
_cell_angle_beta 102.61
_cell_angle_gamma 90.00
loop_
_atom_site_label
_atom_site_type_symbol
_atom_site_fract_x
_atom_site_fract_y
_atom_site_fract_z
_atom_site_occupancy
Ba1 Ba 0.149 0.250 0.399 1
Ba2 Ba 0.290 0.250 0.880 1
Bi1 Bi 0.336 0.750 0.174 1
P1 P 0.196 0.750 0.647 1
Pb1 Pb 0.482 0.750 0.633 1
# calculated formation energy: -0.739 eV per atom
# volume: 206 Å³/f.u.
# total magnetic moment: 0.0 μB per cell



6.
# Ba2BiPPd6, relaxed, DFT PBE-GGA
data_Ba2BiPPd6
_chemical_formula_sum 'Ba4 Bi2 P2 Pd12'
_symmetry_space_group_name_H-M 'P m m n'
_symmetry_Int_Tables_number 59
_cell_length_a 6.819
_cell_length_b 9.187
_cell_length_c 7.391
_cell_angle_alpha 90.00
_cell_angle_beta 90.00
_cell_angle_gamma 90.00
loop_
_symmetry_equiv_pos_as_xyz
'x,y,z'
'-x,-y,-z'
'-x+1/2,-y+1/2,z'
'x+1/2,y+1/2,-z'
'x+1/2,-y,-z'
'-x+1/2,y,z'
'-x,y+1/2,-z'
'x,-y+1/2,z'
loop_
_atom_site_label
_atom_site_type_symbol
_atom_site_fract_x
_atom_site_fract_y
_atom_site_fract_z
_atom_site_occupancy
Ba1 Ba 0.250 0.024 0.216 1
Bi1 Bi 0.250 0.750 0.861 1
P1 P 0.250 0.250 0.629 1
Pd1 Pd 0.044 0.250 0.883 1
Pd2 Pd 0.046 0.750 0.516 1
Pd3 Pd 0.250 0.002 0.658 1
# calculated formation energy: -0.606 eV per atom
# volume: 231 Å³/f.u.
# total magnetic moment: 0.0 μB per cell



7.
# Ba3Bi2P2Pd4, relaxed, DFT PBE-GGA
data_Ba3Bi2P2Pd4
_chemical_formula_sum 'Ba3 Bi2 P2 Pd4'
_symmetry_space_group_name_H-M 'P -3 m 1'
_symmetry_Int_Tables_number 164
_symmetry_space_group_name_Hall '-P 3 2"'
_cell_length_a 4.5005
_cell_length_b 4.5005
_cell_length_c 17.3468
_cell_angle_alpha 90.00
_cell_angle_beta 90.00
_cell_angle_gamma 120.00
loop_
_atom_site_label
_atom_site_type_symbol
_atom_site_fract_x
_atom_site_fract_y
_atom_site_fract_z
_atom_site_occupancy
Ba1 Ba 0.0000 0.0000 0.0000 1
Ba2 Ba 0.0000 0.0000 0.2545 1
Bi1 Bi 0.3333 0.6667 0.5718 1
P1 P 0.3333 0.6667 0.1331 1
Pd1 Pd 0.3333 0.6667 0.4039 1
Pd2 Pd 0.3333 0.6667 0.8693 1
# calculated formation energy: -0.640 eV per atom
# volume: 304 Å³/f.u.
# total magnetic moment: 0.0 μB per cell



8.
# Ba2BiPPt, relaxed, DFT PBE-GGA
data_Ba2BiPPt
_chemical_formula_sum 'Ba2 Bi1 P1 Pt1'
_symmetry_space_group_name_H-M 'P 4/m m m'
_symmetry_Int_Tables_number 123
_symmetry_space_group_name_Hall '-P 4 2'
_cell_length_a 6.417
_cell_length_b 6.417
_cell_length_c 4.349
_cell_angle_alpha 90.00
_cell_angle_beta 90.00
_cell_angle_gamma 90.00
loop_
_atom_site_label
_atom_site_type_symbol
_atom_site_fract_x
_atom_site_fract_y
_atom_site_fract_z
_atom_site_occupancy
Ba1 Ba 0.000 0.500 0.000 1
Bi1 Bi 0.000 0.000 0.500 1
P1 P 0.500 0.500 0.000 1
Pt1 Pt 0.500 0.500 0.500 1
# calculated formation energy: -0.776 eV per atom
# volume: 179 Å³/f.u.
# energy above the lowest structure with this stoichiometry: 0 meV/atom
# total magnetic moment: 0.0 μB per cell



9.
# Ba2BiPPt, relaxed, DFT PBE-GGA
data_Ba2BiPPt
_chemical_formula_sum 'Ba2 Bi1 P1 Pt1'
_symmetry_space_group_name_H-M 'P 4/m m m'
_symmetry_Int_Tables_number 123
_symmetry_space_group_name_Hall '-P 4 2'
_cell_length_a 6.465
_cell_length_b 6.465
_cell_length_c 4.364
_cell_angle_alpha 90.00
_cell_angle_beta 90.00
_cell_angle_gamma 90.00
loop_
_atom_site_label
_atom_site_type_symbol
_atom_site_fract_x
_atom_site_fract_y
_atom_site_fract_z
_atom_site_occupancy
Ba1 Ba 0.000 0.500 0.000 1
Bi1 Bi 0.000 0.000 0.500 1
P1 P 0.500 0.500 0.500 1
Pt1 Pt 0.500 0.500 0.000 1
# calculated formation energy: -0.763 eV per atom
# volume: 182 Å³/f.u.
# energy above the lowest structure with this stoichiometry: 13 meV/atom
# total magnetic moment: 0.0 μB per cell



10.
# BaBiP2Ru, relaxed, DFT PBE-GGA
data_BaBiP2Ru
_chemical_formula_sum 'Ba1 Bi1 P2 Ru1'
_symmetry_space_group_name_H-M 'P 4/m m m'
_symmetry_Int_Tables_number 123
_symmetry_space_group_name_Hall '-P 4 2'
_cell_length_a 4.713
_cell_length_b 4.713
_cell_length_c 5.833
_cell_angle_alpha 90.00
_cell_angle_beta 90.00
_cell_angle_gamma 90.00
loop_
_atom_site_label
_atom_site_type_symbol
_atom_site_fract_x
_atom_site_fract_y
_atom_site_fract_z
_atom_site_occupancy
Ba1 Ba 0.000 0.000 0.000 1
Bi1 Bi 0.500 0.500 0.000 1
P1 P 0.000 0.500 0.500 1
Ru1 Ru 0.000 0.000 0.500 1
# calculated formation energy: 0.132 eV per atom
# volume: 130 Å³/f.u.
# total magnetic moment: 0.0 μB per cell



11.
# BaBiPRu2, relaxed, DFT PBE-GGA
data_BaBiPRu2
_chemical_formula_sum 'Ba1 Bi1 P1 Ru2'
_symmetry_space_group_name_H-M 'P 4/m m m'
_symmetry_Int_Tables_number 123
_symmetry_space_group_name_Hall '-P 4 2'
_cell_length_a 5.089
_cell_length_b 5.089
_cell_length_c 5.474
_cell_angle_alpha 90.00
_cell_angle_beta 90.00
_cell_angle_gamma 90.00
loop_
_atom_site_label
_atom_site_type_symbol
_atom_site_fract_x
_atom_site_fract_y
_atom_site_fract_z
_atom_site_occupancy
Ba1 Ba 0.000 0.000 0.000 1
Bi1 Bi 0.500 0.500 0.500 1
P1 P 0.500 0.500 0.000 1
Ru1 Ru 0.000 0.500 0.500 1
# calculated formation energy: 1.010 eV per atom
# volume: 142 Å³/f.u.
# total magnetic moment: 2.0 μB per cell



12.
# BaBiP2S, relaxed, DFT PBE-GGA
data_BaBiP2S
_chemical_formula_sum 'Ba1 Bi1 P2 S1'
_symmetry_space_group_name_H-M 'P 4/m m m'
_symmetry_Int_Tables_number 123
_symmetry_space_group_name_Hall '-P 4 2'
_cell_length_a 5.487
_cell_length_b 5.487
_cell_length_c 5.558
_cell_angle_alpha 90.00
_cell_angle_beta 90.00
_cell_angle_gamma 90.00
loop_
_atom_site_label
_atom_site_type_symbol
_atom_site_fract_x
_atom_site_fract_y
_atom_site_fract_z
_atom_site_occupancy
Ba1 Ba 0.000 0.000 0.000 1
Bi1 Bi 0.500 0.500 0.500 1
P1 P 0.000 0.500 0.000 1
S1 S 0.000 0.000 0.500 1
# formation energy (no corrections): 1.08 eV per atom
# volume: 167 Å³/f.u.
# energy above the lowest structure with this stoichiometry: 1083 meV/atom
# total magnetic moment: 0.0 μB per cell



13.
# Ba6Bi2PS, relaxed, DFT PBE-GGA
data_Ba6Bi2PS
_chemical_formula_sum 'Ba12 Bi4 P2 S2'
_symmetry_space_group_name_H-M 'P 1 21/c 1'
_symmetry_Int_Tables_number 14
_symmetry_space_group_name_Hall '-P 2ybc'
_cell_length_a 8.058
_cell_length_b 9.114
_cell_length_c 14.356
_cell_angle_alpha 90.00
_cell_angle_beta 124.12
_cell_angle_gamma 90.00
loop_
_atom_site_label
_atom_site_type_symbol
_atom_site_fract_x
_atom_site_fract_y
_atom_site_fract_z
_atom_site_occupancy
Ba1 Ba 0.121 0.190 0.438 1
Ba2 Ba 0.260 0.696 0.441 1
Ba3 Ba 0.371 0.042 0.251 1
Bi1 Bi 0.210 0.092 0.752 1
P1 P 0.500 0.000 0.500 1
S1 S 0.000 0.000 0.000 1
# formation energy (no corrections): -1.12 eV per atom
# volume: 436 Å³/f.u.
# total magnetic moment: 2.0 μB per cell



14.
# BaBiP2S, relaxed, DFT PBE-GGA
data_BaBiP2S
_chemical_formula_sum 'Ba1 Bi1 P2 S1'
_symmetry_space_group_name_H-M 'P 4/m m m'
_symmetry_Int_Tables_number 123
_symmetry_space_group_name_Hall '-P 4 2'
_cell_length_a 5.279
_cell_length_b 5.279
_cell_length_c 5.435
_cell_angle_alpha 90.00
_cell_angle_beta 90.00
_cell_angle_gamma 90.00
loop_
_atom_site_label
_atom_site_type_symbol
_atom_site_fract_x
_atom_site_fract_y
_atom_site_fract_z
_atom_site_occupancy
Ba1 Ba 0.000 0.000 0.000 1
Bi1 Bi 0.500 0.500 0.500 1
P1 P 0.000 0.500 0.500 1
S1 S 0.500 0.500 0.000 1
# formation energy (no corrections): 0.00 eV per atom
# volume: 151 Å³/f.u.
# energy above the lowest structure with this stoichiometry: 0 meV/atom
# total magnetic moment: 0.0 μB per cell



15.
# Ba5Bi2SbP, relaxed, DFT PBE-GGA
data_Ba5Bi2SbP
_chemical_formula_sum 'Ba10 Bi4 Sb2 P2'
_symmetry_space_group_name_H-M 'I m m m'
_symmetry_Int_Tables_number 71
_symmetry_space_group_name_Hall '-I 2 2'
_cell_length_a 5.709
_cell_length_b 8.368
_cell_length_c 17.549
_cell_angle_alpha 90.00
_cell_angle_beta 90.00
_cell_angle_gamma 90.00
loop_
_atom_site_label
_atom_site_type_symbol
_atom_site_fract_x
_atom_site_fract_y
_atom_site_fract_z
_atom_site_occupancy
Ba1 Ba 0.000 0.000 0.000 1
Ba2 Ba 0.000 0.240 0.367 1
Bi1 Bi 0.000 0.000 0.198 1
Sb1 Sb 0.000 0.500 0.000 1
P1 P 0.000 0.500 0.500 1
# formation energy (no corrections): -0.73 eV per atom
# volume: 419 Å³/f.u.
# total magnetic moment: 0.0 μB per cell



16.
# Ba6Bi2SbP, relaxed, DFT PBE-GGA
data_Ba6Bi2SbP
_chemical_formula_sum 'Ba12 Bi4 Sb2 P2'
_symmetry_space_group_name_H-M 'P 1 21/c 1'
_symmetry_Int_Tables_number 14
_symmetry_space_group_name_Hall '-P 2ybc'
_cell_length_a 8.488
_cell_length_b 9.170
_cell_length_c 14.821
_cell_angle_alpha 90.00
_cell_angle_beta 124.72
_cell_angle_gamma 90.00
loop_
_atom_site_label
_atom_site_type_symbol
_atom_site_fract_x
_atom_site_fract_y
_atom_site_fract_z
_atom_site_occupancy
Ba1 Ba 0.106 0.064 0.241 1
Ba2 Ba 0.244 0.698 0.069 1
Ba3 Ba 0.369 0.180 0.064 1
Bi1 Bi 0.280 0.080 0.751 1
Sb1 Sb 0.500 0.000 0.500 1
P1 P 0.000 0.000 0.000 1
# formation energy (no corrections): -0.95 eV per atom
# volume: 474 Å³/f.u.
# total magnetic moment: 0.0 μB per cell



17.
# Ba6BiSb2P, relaxed, DFT PBE-GGA
data_Ba6BiSb2P
_chemical_formula_sum 'Ba12 Bi2 Sb4 P2'
_symmetry_space_group_name_H-M 'P 1 21/c 1'
_symmetry_Int_Tables_number 14
_symmetry_space_group_name_Hall '-P 2ybc'
_cell_length_a 8.477
_cell_length_b 9.147
_cell_length_c 14.705
_cell_angle_alpha 90.00
_cell_angle_beta 124.75
_cell_angle_gamma 90.00
loop_
_atom_site_label
_atom_site_type_symbol
_atom_site_fract_x
_atom_site_fract_y
_atom_site_fract_z
_atom_site_occupancy
Ba1 Ba 0.092 0.074 0.238 1
Ba2 Ba 0.248 0.698 0.076 1
Ba3 Ba 0.371 0.176 0.067 1
Bi1 Bi 0.500 0.000 0.500 1
Sb1 Sb 0.282 0.082 0.753 1
P1 P 0.000 0.000 0.000 1
# formation energy (no corrections): -0.96 eV per atom
# volume: 468 Å³/f.u.
# total magnetic moment: 0.0 μB per cell



18.
# Ba2Sc2Bi2P, relaxed, DFT PBE-GGA
data_Ba2Sc2Bi2P
_chemical_formula_sum 'Ba4 Sc4 Bi4 P2'
_symmetry_space_group_name_H-M 'I 4/m m m'
_symmetry_Int_Tables_number 139
_symmetry_space_group_name_Hall '-I 4 2'
_cell_length_a 5.043
_cell_length_b 5.043
_cell_length_c 18.085
_cell_angle_alpha 90.00
_cell_angle_beta 90.00
_cell_angle_gamma 90.00
loop_
_atom_site_label
_atom_site_type_symbol
_atom_site_fract_x
_atom_site_fract_y
_atom_site_fract_z
_atom_site_occupancy
Ba1 Ba 0.000 0.000 0.172 1
Sc1 Sc 0.000 0.500 0.000 1
Bi1 Bi 0.000 0.000 0.383 1
P1 P 0.000 0.000 0.000 1
# calculated formation energy: -1.010 eV per atom
# volume: 230 Å³/f.u.
# total magnetic moment: 0.0 μB per cell



19.
# BaBi2PSe, relaxed, DFT PBE-GGA
data_BaBi2PSe
_chemical_formula_sum 'Ba1 Bi2 P1 Se1'
_symmetry_space_group_name_H-M 'P 4/m m m'
_symmetry_Int_Tables_number 123
_symmetry_space_group_name_Hall '-P 4 2'
_cell_length_a 5.519
_cell_length_b 5.519
_cell_length_c 6.138
_cell_angle_alpha 90.00
_cell_angle_beta 90.00
_cell_angle_gamma 90.00
loop_
_atom_site_label
_atom_site_type_symbol
_atom_site_fract_x
_atom_site_fract_y
_atom_site_fract_z
_atom_site_occupancy
Ba1 Ba 0.000 0.000 0.000 1
Bi1 Bi 0.000 0.500 0.500 1
P1 P 0.500 0.500 0.000 1
Se1 Se 0.000 0.000 0.500 1
# formation energy (no corrections): 0.16 eV per atom
# volume: 187 Å³/f.u.
# total magnetic moment: 0.0 μB per cell



20.
# BaBiP2Se8, relaxed, DFT PBE-GGA
data_BaBiP2Se8
_chemical_formula_sum 'Ba1 Bi1 P2 Se8'
_symmetry_space_group_name_H-M 'P -3'
_symmetry_Int_Tables_number 147
_symmetry_space_group_name_Hall '-P 3'
_cell_length_a 6.3609
_cell_length_b 6.3609
_cell_length_c 9.7568
_cell_angle_alpha 90.00
_cell_angle_beta 90.00
_cell_angle_gamma 120.00
loop_
_atom_site_label
_atom_site_type_symbol
_atom_site_fract_x
_atom_site_fract_y
_atom_site_fract_z
_atom_site_occupancy
Ba1 Ba 0.0000 0.0000 0.0000 1
Bi1 Bi 0.0000 0.0000 0.5000 1
P1 P 0.3333 0.6667 0.7547 1
Se1 Se 0.0253 0.6569 0.3047 1
Se2 Se 0.3333 0.6667 0.9807 1
# formation energy (no corrections): -0.41 eV per atom
# volume: 342 Å³/f.u.
# total magnetic moment: 0.0 μB per cell